1.
The following is a DFT calculation (PBE) of a relaxed CuNi2Os2 crystal.

The value obtained for the density of states at the Fermi level is 11.71 states/eV/cell. The calculation puts the total energy at -7.00 eV per atom. As for the energy relative to the elements: 0.619 eV per atom.

The space group is I4/mmm (No. 139) and the conventional cell measures 3.272, 3.272 and 12.542 Å, with angles of 90.00, 90.00 and 90.00 degrees. The asymmetric unit holds Cu at (0.000, 0.000, 0.000), Ni at (0.000, 0.500, 0.250) and Os at (0.000, 0.000, 0.401).

2.
The following is a DFT calculation (PBE) of a relaxed ZnInGe2 crystal.

The value obtained for the density of states at the Fermi level is 5.58 states/eV/cell. The calculation puts the total energy at -3.08 eV per atom. As for the energy relative to the elements: 0.227 eV per atom.

The space group is R-3m (No. 166, hexagonal axes) and the conventional cell measures 3.7796, 3.7796 and 20.5808 Å, with angles of 90.00, 90.00 and 120.00 degrees. The asymmetric unit holds Zn at (0.0000, 0.0000, 0.0000), In at (0.0000, 0.0000, 0.5000) and Ge at (0.0000, 0.0000, 0.2626).